LiPWO2 after structural relaxation, computed with GGA+U.

The structure in CIF format:
```
data_LiPWO2
_chemical_formula_sum 'Li1 P1 W1 O2'
_space_group_name_H-M_alt 'P 4/m m m'
_space_group_IT_number 123
_space_group_name_Hall '-P 4 2'
_cell_length_a 3.867
_cell_length_b 3.867
_cell_length_c 5.002
_cell_angle_alpha 90.00
_cell_angle_beta 90.00
_cell_angle_gamma 90.00
loop_
_atom_site_label
_atom_site_type_symbol
_atom_site_fract_x
_atom_site_fract_y
_atom_site_fract_z
Li1 Li 0.000 0.000 0.000
P1 P 0.500 0.500 0.000
W1 W 0.500 0.500 0.500
O1 O 0.000 0.500 0.500
```

Output
magnetization	0.000	μB/f.u.
energy	-6.0089	eV per atom

=====

LiP3W2O12 after structural relaxation, computed with GGA+U.

The structure in CIF format:
```
data_LiP3W2O12
_chemical_formula_sum 'Li4 P12 W8 O48'
_space_group_name_H-M_alt 'P b c m'
_space_group_IT_number 57
_space_group_name_Hall '-P 2c 2b'
_cell_length_a 9.092
_cell_length_b 9.290
_cell_length_c 12.471
_cell_angle_alpha 90.00
_cell_angle_beta 90.00
_cell_angle_gamma 90.00
loop_
_atom_site_label
_atom_site_type_symbol
_atom_site_fract_x
_atom_site_fract_y
_atom_site_fract_z
Li1 Li 0.123 0.202 0.250
P1 P 0.032 0.250 0.000
P2 P 0.402 0.631 0.132
W1 W 0.248 0.525 0.598
O1 O 0.058 0.642 0.566
O2 O 0.130 0.172 0.086
O3 O 0.208 0.512 0.750
O4 O 0.303 0.536 0.062
O5 O 0.350 0.581 0.250
O6 O 0.373 0.709 0.621
O7 O 0.435 0.102 0.120
```

Output
magnetization	4.000	μB/f.u.
energy	-7.2397	eV per atom

=====

LiPW2O8 after structural relaxation, computed with GGA+U.

The structure in CIF format:
```
data_LiPW2O8
_chemical_formula_sum 'Li4 P4 W8 O32'
_space_group_name_H-M_alt 'P 21 21 21'
_space_group_IT_number 19
_space_group_name_Hall 'P 2ac 2ab'
_cell_length_a 5.298
_cell_length_b 6.741
_cell_length_c 17.795
_cell_angle_alpha 90.00
_cell_angle_beta 90.00
_cell_angle_gamma 90.00
loop_
_atom_site_label
_atom_site_type_symbol
_atom_site_fract_x
_atom_site_fract_y
_atom_site_fract_z
Li1 Li 0.231 0.017 0.207
P1 P 0.232 0.454 0.692
W1 W 0.242 0.092 0.547
W2 W 0.248 0.751 0.373
O1 O 0.038 0.538 0.415
O2 O 0.044 0.039 0.803
O3 O 0.049 0.713 0.990
O4 O 0.049 0.902 0.616
O5 O 0.093 0.391 0.158
O6 O 0.170 0.598 0.272
O7 O 0.235 0.257 0.647
O8 O 0.239 0.089 0.956
```

Output
magnetization	2.000	μB/f.u.
energy	-7.2410	eV per atom

=====

Energy relative to the lowest polymorph listed for this composition for every record listed, in sequence, given in eV/f.u.: 0.00; 1.53; 0.00.